TlZn2Sb2 | PBE | optimized geometry

Values from the calculation:
**Uncorrected formation energy**: -0.012 eV/atom
**Energy above the most stable polymorph in this dataset**: 0 meV/atom

Geometry as POSCAR:
```
TlZn2Sb2
1.0
4.088 0.000 0.000
0.000 4.088 0.000
2.044 2.044 8.007
Sb Tl Zn
2 1 2
Cartesian
2.044 2.044 2.149
4.088 4.088 5.858
0.000 0.000 0.000
4.088 2.044 4.004
2.044 4.088 4.004
```